No. 1
Density functional theory data (PBE) for a geometry-optimized Tb2Se2O7 structure. Values from VASP.

The structure in Quantum ESPRESSO input format:
```
&SYSTEM
  ibrav = 0, nat = 44, ntyp = 3
/
ATOMIC_SPECIES
Se 78.96 Se.upf
O 16.00 O.upf
Tb 158.93 Tb.upf
CELL_PARAMETERS angstrom
-6.380 -5.196 -6.656
-3.633 -5.842 8.042
-3.754 3.513 0.856
ATOMIC_POSITIONS angstrom
Se -3.825 -3.498 4.371
O -10.513 -7.169 3.009
O -6.883 -3.763 1.121
O -1.877 1.756 0.428
O -7.758 -5.069 -1.184
Se -4.827 -0.335 2.863
Se -6.691 -6.106 4.792
Tb -7.169 -5.990 1.077
O 0.000 0.000 0.000
Se -5.469 -2.922 -2.916
Tb -8.158 -2.805 -0.462
Tb -8.859 -2.640 -4.217
O -7.148 -2.662 -2.591
O -3.968 -1.263 1.683
O -5.997 -1.535 -0.306
Se -5.810 0.085 -0.886
O -5.103 -3.304 3.219
Tb -7.486 -2.963 3.132
O -9.869 -2.784 -2.088
O -2.915 -2.500 -0.561
O -4.599 -3.422 5.918
O -5.918 -6.182 3.245
O -10.136 -4.118 0.354
Tb -2.162 -0.471 0.383
O -7.562 -8.103 2.054
Se -7.794 -6.037 -2.619
Tb -6.784 -3.128 6.887
O -5.505 -3.890 -4.352
Tb -9.727 -8.810 1.431
O -7.083 -4.428 4.939
O -5.000 -4.009 -1.652
O -8.263 -4.950 -3.883
Tb -4.721 -3.291 0.738
O -8.675 -5.143 2.755
O -6.479 -0.741 2.538
O -11.975 -6.145 0.609
O -5.413 -6.301 5.944
O -4.640 1.286 2.283
O -4.159 0.492 -0.561
Se -10.546 -5.687 -0.255
O -9.334 -6.697 0.454
O -7.187 -1.663 5.080
Se -10.104 -5.601 3.618
O -5.006 -5.519 0.693
```

Output
electronic total energy: -297.99 eV/cell
M_tot: 0.000 μB/cell
symmetry: No. 138

No. 2
Density functional theory data (PBE) for a geometry-optimized TbSeO4 structure. Values from VASP.

The structure in Quantum ESPRESSO input format:
```
&SYSTEM
  ibrav = 0, nat = 12, ntyp = 3
/
ATOMIC_SPECIES
O 16.00 O.upf
Tb 158.93 Tb.upf
Se 78.96 Se.upf
CELL_PARAMETERS angstrom
3.860 0.000 0.000
-0.059 6.903 0.000
-1.439 -3.379 6.176
ATOMIC_POSITIONS angstrom
O 1.216 1.232 4.874
O 1.166 4.677 1.316
O -1.138 3.619 5.803
Tb 0.829 -0.098 1.850
Se 2.202 3.326 1.493
O 2.963 0.388 0.358
O 2.735 3.586 3.140
Tb 0.787 3.393 4.426
O 0.999 2.167 1.894
O 2.805 0.201 3.055
Se 2.250 -0.113 4.684
O 1.038 -1.247 4.174
```

Output
electronic total energy: -78.13 eV/cell
M_tot: 0.001 μB/cell
symmetry: No. 1

No. 3
Density functional theory data (PBE) for a geometry-optimized TbTlSeO structure. Values from VASP.

The structure in Quantum ESPRESSO input format:
```
&SYSTEM
  ibrav = 0, nat = 16, ntyp = 4
/
ATOMIC_SPECIES
Tb 158.93 Tb.upf
O 16.00 O.upf
Se 78.96 Se.upf
Tl 204.38 Tl.upf
CELL_PARAMETERS angstrom
-2.309 -2.633 -4.360
5.031 -0.653 -2.270
2.631 -8.835 8.372
ATOMIC_POSITIONS angstrom
Tb 4.116 -1.470 -1.266
O 3.609 -11.161 3.878
Tb 5.357 -9.722 3.848
Tb 0.450 -2.458 -2.312
O -1.526 -2.007 -3.361
Se 0.969 -3.168 0.541
Tl -0.129 -5.948 -1.039
Se 2.319 -4.813 -2.773
Tl 1.127 -7.074 2.064
Tb 1.684 -10.710 2.806
O -0.382 -0.684 -1.177
Tl 4.788 -6.083 3.094
Se 2.361 -7.221 4.818
Tl 3.535 -4.958 -0.011
O 4.775 -9.842 6.052
Se 3.730 -8.869 1.496
```

Output
energy above the most stable polymorph in this dataset: 0.00 eV per formula unit
M_tot: 0.019 μB/cell
symmetry: No. 4

No. 4
Density functional theory data (PBE) for a geometry-optimized TbTlSeO structure. Values from VASP.

The structure in Quantum ESPRESSO input format:
```
&SYSTEM
  ibrav = 0, nat = 8, ntyp = 4
/
ATOMIC_SPECIES
Se 78.96 Se.upf
Tl 204.38 Tl.upf
Tb 158.93 Tb.upf
O 16.00 O.upf
CELL_PARAMETERS angstrom
4.714 0.000 0.000
0.000 7.712 0.000
0.000 0.000 6.640
ATOMIC_POSITIONS angstrom
Se 0.000 2.650 3.773
Se 0.000 5.062 0.453
Tl 0.000 1.924 0.728
Tb 2.357 6.551 0.365
O 2.357 0.464 1.714
Tl 0.000 5.788 4.048
O 2.357 7.248 5.034
Tb 2.357 1.161 3.685
```

Output
energy above the most stable polymorph in this dataset: 0.98 eV per formula unit
M_tot: 0.000 μB/cell
symmetry: No. 26

No. 5
Density functional theory data (PBE) for a geometry-optimized TbTmSeO2 structure. Values from VASP.

The structure in Quantum ESPRESSO input format:
```
&SYSTEM
  ibrav = 0, nat = 5, ntyp = 4
/
ATOMIC_SPECIES
O 16.00 O.upf
Tb 158.93 Tb.upf
Se 78.96 Se.upf
Tm 168.93 Tm.upf
CELL_PARAMETERS angstrom
3.801 0.000 0.000
-1.901 3.292 0.000
0.000 0.000 6.733
ATOMIC_POSITIONS angstrom
O 1.901 1.097 4.193
Tb 0.000 2.195 4.787
Se 0.000 0.000 0.031
O 0.000 2.195 2.492
Tm 1.901 1.097 1.963
```

Output
electronic total energy: -38.13 eV/cell
M_tot: 0.000 μB/cell
symmetry: No. 156

No. 6
Density functional theory data (PBE) for a geometry-optimized TbYSeO2 structure. Values from VASP.

The structure in Quantum ESPRESSO input format:
```
&SYSTEM
  ibrav = 0, nat = 5, ntyp = 4
/
ATOMIC_SPECIES
O 16.00 O.upf
Se 78.96 Se.upf
Tb 158.93 Tb.upf
Y 88.91 Y.upf
CELL_PARAMETERS angstrom
-0.034 3.825 -0.307
-1.699 -1.700 2.992
5.811 0.332 3.487
ATOMIC_POSITIONS angstrom
O 3.053 2.192 2.978
Se 5.805 0.332 3.484
Tb 1.097 2.080 1.804
Y 2.987 0.378 4.371
O 1.026 0.266 3.195
```

Output
electronic total energy: -39.98 eV/cell
M_tot: 0.001 μB/cell
symmetry: No. 156

No. 7
Density functional theory data (PBE) for a geometry-optimized Zn2TeSeO7 structure. Values from VASP.

The structure in Quantum ESPRESSO input format:
```
&SYSTEM
  ibrav = 0, nat = 22, ntyp = 4
/
ATOMIC_SPECIES
O 16.00 O.upf
Se 78.96 Se.upf
Zn 65.41 Zn.upf
Te 127.60 Te.upf
CELL_PARAMETERS angstrom
-3.598 -3.161 -1.943
3.469 -6.233 0.092
-2.770 -1.432 7.458
ATOMIC_POSITIONS angstrom
O -2.585 -6.776 3.781
Se 0.056 -4.599 4.759
O 0.419 -8.165 4.984
O -1.688 -1.543 2.105
O -0.858 -6.668 -0.991
Se -2.355 -5.916 -0.769
Zn -1.858 -3.580 1.661
O 1.022 -5.416 3.659
Te -3.342 -3.808 4.768
O -3.448 -3.928 2.870
O -1.040 -3.640 3.903
Zn -1.562 -1.035 3.986
O -3.208 -2.603 0.324
Zn -0.195 -9.201 -1.454
Zn -1.577 -7.522 5.390
O 0.020 -3.877 0.925
O 1.603 -6.353 -0.101
O -2.363 -5.400 0.814
Te 0.336 -7.072 1.127
O -5.268 -6.105 5.571
O -1.741 -9.557 4.928
O -0.876 -5.601 5.708
```

Output
electronic total energy: -110.69 eV/cell
symmetry: No. 4

No. 8
Density functional theory data (PBE) for a geometry-optimized TmTlSeO structure. Values from VASP.

The structure in Quantum ESPRESSO input format:
```
&SYSTEM
  ibrav = 0, nat = 8, ntyp = 4
/
ATOMIC_SPECIES
Tl 204.38 Tl.upf
O 16.00 O.upf
Tm 168.93 Tm.upf
Se 78.96 Se.upf
CELL_PARAMETERS angstrom
4.455 0.000 0.000
0.000 8.112 0.000
0.000 0.000 6.571
ATOMIC_POSITIONS angstrom
Tl 0.000 2.335 0.749
O 2.227 0.601 1.533
Tm 2.227 1.035 3.552
Se 0.000 2.564 3.963
Tl 0.000 5.776 4.035
O 2.227 7.511 4.818
Se 0.000 5.548 0.678
Tm 2.227 7.077 0.266
```

Output
energy above the most stable polymorph in this dataset: 0.98 eV per formula unit
M_tot: 0.001 μB/cell
symmetry: No. 26

No. 9
Density functional theory data (PBE) for a geometry-optimized TmTlSeO structure. Values from VASP.

The structure in Quantum ESPRESSO input format:
```
&SYSTEM
  ibrav = 0, nat = 16, ntyp = 4
/
ATOMIC_SPECIES
Tl 204.38 Tl.upf
Tm 168.93 Tm.upf
O 16.00 O.upf
Se 78.96 Se.upf
CELL_PARAMETERS angstrom
-2.846 4.625 0.953
-4.628 -2.943 0.461
3.820 -4.240 11.282
ATOMIC_POSITIONS angstrom
Tl -2.748 -1.694 5.075
Tm -0.676 -0.420 11.354
Tm -1.567 -4.205 11.108
O -4.726 1.823 0.973
O -3.320 -0.500 0.498
Se -0.666 -0.077 3.297
Tm -3.597 -2.532 1.403
O -0.987 0.979 0.265
O -2.427 3.280 0.743
Se -2.149 -1.948 9.315
Tm -2.707 1.252 1.650
Se -4.404 0.762 4.003
Tl -0.981 -4.134 7.294
Tl -0.088 -0.344 7.540
Se 1.586 -2.789 8.609
Tl -1.862 2.090 5.321
```

Output
energy above the most stable polymorph in this dataset: 0.00 eV per formula unit
M_tot: 0.016 μB/cell
symmetry: No. 5

No. 10
Density functional theory data (PBE) for a geometry-optimized Tm2Se2O7 structure. Values from VASP.

The structure in Quantum ESPRESSO input format:
```
&SYSTEM
  ibrav = 0, nat = 44, ntyp = 3
/
ATOMIC_SPECIES
O 16.00 O.upf
Tm 168.93 Tm.upf
Se 78.96 Se.upf
CELL_PARAMETERS angstrom
10.415 0.000 0.000
0.000 10.415 0.000
0.000 0.000 5.145
ATOMIC_POSITIONS angstrom
O 3.270 8.477 4.803
O 3.270 1.938 2.231
O 7.863 0.712 1.964
O 0.000 0.000 0.000
Tm 1.261 1.261 1.286
Tm 1.261 9.153 3.858
O 7.145 8.477 2.231
Tm 3.946 6.469 3.858
Se 6.466 1.259 1.097
Se 3.948 1.259 3.670
O 9.702 2.551 0.609
O 8.477 7.145 0.342
O 5.919 2.656 1.964
O 2.551 9.702 1.964
O 1.938 3.270 0.342
Se 1.259 3.948 4.047
Se 9.156 3.948 1.475
Tm 6.469 6.469 1.286
Se 9.156 6.466 4.047
Tm 3.946 3.946 1.286
O 7.759 4.495 0.609
Se 6.466 9.156 3.670
O 0.000 0.000 2.572
O 7.145 1.938 4.803
Tm 6.469 3.946 3.858
O 5.919 7.759 4.536
O 1.938 7.145 2.914
O 7.759 5.919 3.181
O 4.495 2.656 4.536
O 2.656 5.919 0.609
Se 3.948 9.156 1.097
O 0.712 2.551 3.181
Se 1.259 6.466 1.475
O 7.863 9.702 4.536
O 0.712 7.863 0.609
O 2.551 0.712 4.536
O 5.207 5.207 2.572
Tm 9.153 1.261 3.858
O 4.495 7.759 1.964
O 2.656 4.495 3.181
Tm 9.153 9.153 1.286
O 8.477 3.270 2.914
O 5.207 5.207 0.000
O 9.702 7.863 3.181
```

Output
electronic total energy: -297.41 eV/cell
M_tot: 0.032 μB/cell
symmetry: No. 138

No. 11
Density functional theory data (PBE) for a geometry-optimized Zn6SeO8 structure. Values from VASP.

The structure in Quantum ESPRESSO input format:
```
&SYSTEM
  ibrav = 0, nat = 15, ntyp = 3
/
ATOMIC_SPECIES
O 16.00 O.upf
Zn 65.41 Zn.upf
Se 78.96 Se.upf
CELL_PARAMETERS angstrom
0.000 4.300 4.300
4.300 0.000 4.300
4.300 4.300 0.000
ATOMIC_POSITIONS angstrom
O 4.300 4.300 2.052
Zn 2.150 2.150 4.300
O 4.300 6.547 4.300
Zn 2.150 0.000 2.150
Zn 2.150 2.150 0.000
O 6.450 6.450 6.450
O 2.052 4.300 4.300
O 4.300 2.052 4.300
Zn 0.000 2.150 2.150
Zn 4.300 2.150 2.150
Zn 2.150 4.300 2.150
O 2.150 2.150 2.150
Se 0.000 0.000 0.000
O 6.547 4.300 4.300
O 4.300 4.300 6.547
```

Output
electronic total energy: -66.99 eV/cell
symmetry: No. 225

No. 12
Density functional theory data (PBE) for a geometry-optimized ZrSe2O8 structure. Values from VASP.

The structure in Quantum ESPRESSO input format:
```
&SYSTEM
  ibrav = 0, nat = 44, ntyp = 3
/
ATOMIC_SPECIES
O 16.00 O.upf
Zr 91.22 Zr.upf
Se 78.96 Se.upf
CELL_PARAMETERS angstrom
-5.838 -1.681 6.415
4.172 -1.830 3.317
1.392 10.419 3.997
ATOMIC_POSITIONS angstrom
O 1.551 8.826 7.778
Zr -2.762 2.352 7.164
Zr -0.043 6.629 10.889
O -1.554 0.321 4.524
Se 2.179 8.309 4.236
O -0.063 4.647 9.822
O -0.948 1.396 6.935
O 1.335 0.521 5.788
Se 2.358 7.508 8.356
Se -0.997 5.543 6.705
O -3.964 7.052 9.062
O -3.846 -1.031 4.343
O 1.222 2.935 7.261
O 0.976 0.553 8.464
Se -1.003 3.363 10.296
O 1.762 3.924 4.661
O -0.015 2.098 10.675
O 2.075 9.705 5.136
O -2.036 2.984 9.067
O -1.825 -1.917 5.950
O -0.260 4.811 3.054
O -2.350 -2.796 8.592
O 3.926 5.393 5.216
O -3.290 0.224 6.655
Zr -0.232 0.280 2.839
O 3.016 6.684 7.074
O -2.041 6.209 10.591
O -1.610 6.387 7.941
O -1.558 -0.122 9.071
Se -2.632 -0.600 5.373
O 1.283 7.031 4.658
O -1.497 3.974 6.468
Zr 2.487 4.556 6.565
Se -2.453 -1.401 9.493
Se 0.723 1.365 7.024
O 1.279 6.587 9.204
O 1.766 0.700 3.138
O 3.689 -0.143 4.667
O 3.572 7.939 9.385
O -4.201 1.516 8.512
O 0.673 5.513 6.794
O -0.211 2.261 3.907
O -1.250 6.356 5.265
Se 0.728 3.545 3.433
```

Output
electronic total energy: -274.87 eV/cell
M_tot: 0.002 μB/cell
symmetry: No. 62

No. 13
Density functional theory data (PBE) for a geometry-optimized ZrSeO3 structure. Values from VASP.

The structure in Quantum ESPRESSO input format:
```
&SYSTEM
  ibrav = 0, nat = 5, ntyp = 3
/
ATOMIC_SPECIES
O 16.00 O.upf
Se 78.96 Se.upf
Zr 91.22 Zr.upf
CELL_PARAMETERS angstrom
-3.078 -1.272 -2.202
-0.455 -3.208 2.694
-2.239 3.080 2.110
ATOMIC_POSITIONS angstrom
O -2.377 1.076 2.473
O -1.793 -1.368 2.676
Se -2.265 -0.309 1.266
Zr -2.837 -0.118 4.283
O -2.376 -3.863 1.311
```

Output
electronic total energy: -36.52 eV/cell
M_tot: 0.000 μB/cell
symmetry: No. 1

No. 14
Density functional theory data (PBE) for a geometry-optimized Sm2Si2O5 structure. Values from VASP.

The structure in Quantum ESPRESSO input format:
```
&SYSTEM
  ibrav = 0, nat = 9, ntyp = 3
/
ATOMIC_SPECIES
Sm 150.36 Sm.upf
Si 28.09 Si.upf
O 16.00 O.upf
CELL_PARAMETERS angstrom
9.741 0.000 0.000
0.000 3.505 0.000
0.000 0.000 3.505
ATOMIC_POSITIONS angstrom
Sm 2.494 1.753 1.753
Si 0.000 0.000 0.000
Sm 7.247 1.753 1.753
O 4.870 1.753 1.753
Si 4.870 0.000 0.000
O 8.611 1.753 0.000
O 1.130 0.000 1.753
O 8.611 0.000 1.753
O 1.130 1.753 0.000
```

Output
energy above the most stable polymorph in this dataset: 3.68 eV per formula unit
M_tot: 0.000 μB/cell
symmetry: No. 123

No. 15
Density functional theory data (PBE) for a geometry-optimized Sm2SiO5 structure. Values from VASP.

The structure in Quantum ESPRESSO input format:
```
&SYSTEM
  ibrav = 0, nat = 32, ntyp = 3
/
ATOMIC_SPECIES
O 16.00 O.upf
Si 28.09 Si.upf
Sm 150.36 Sm.upf
CELL_PARAMETERS angstrom
0.000 6.755 0.000
-7.300 -3.377 -0.008
1.694 -3.377 8.963
ATOMIC_POSITIONS angstrom
O -2.513 0.339 8.540
O 1.274 3.532 7.528
Si -3.662 0.605 1.642
Sm -0.767 1.700 0.358
O -6.880 -3.532 1.428
O -3.654 -4.027 5.370
O -3.093 -0.339 0.416
Si -6.441 -2.772 2.828
O -5.565 -1.983 6.177
Sm -5.821 -4.310 6.010
Sm -2.588 -4.310 7.424
O -4.859 -2.485 2.988
O -1.953 4.027 3.586
O -2.762 1.983 1.699
Sm -4.839 -1.700 8.598
O -0.747 2.485 5.967
Sm -3.570 -1.700 4.836
O -3.223 -0.154 3.042
Si 0.835 2.772 6.128
O -5.244 0.892 1.482
O -0.850 4.027 0.892
Sm -2.036 1.700 4.120
O 0.290 -0.339 4.062
Sm 0.215 4.310 2.946
O -2.844 -1.983 7.256
O -2.383 0.154 5.914
O -4.756 -4.027 8.064
Sm -3.018 4.310 1.532
O -5.896 0.339 4.894
O -0.041 1.983 2.779
O -0.362 -0.892 7.474
Si -1.944 -0.605 7.314
```

Output
electronic total energy: -264.12 eV/cell
M_tot: 0.004 μB/cell
symmetry: No. 15

No. 16
Density functional theory data (PBE) for a geometry-optimized Sm2SiO4 structure. Values from VASP.

The structure in Quantum ESPRESSO input format:
```
&SYSTEM
  ibrav = 0, nat = 14, ntyp = 3
/
ATOMIC_SPECIES
Sm 150.36 Sm.upf
O 16.00 O.upf
Si 28.09 Si.upf
CELL_PARAMETERS angstrom
-6.184 -0.590 -2.796
5.548 -0.088 -3.953
-1.348 -5.275 4.095
ATOMIC_POSITIONS angstrom
Sm -1.775 -3.540 0.523
O 0.114 -2.168 0.207
O 2.832 -2.158 -1.848
Sm -4.867 -3.835 -0.875
O 2.118 -4.727 0.275
Si 0.000 0.000 0.000
Sm 0.999 -3.584 -1.454
Si -2.201 -1.805 -3.050
O -0.119 -2.440 -3.183
O -0.834 -5.009 -1.060
O -3.663 -4.912 0.838
O -0.530 -4.686 2.161
Sm 1.673 -0.946 -3.502
O -3.019 -2.394 -1.116
```

Output
energy above the most stable polymorph in this dataset: 3.18 eV per formula unit
M_tot: 0.001 μB/cell
symmetry: No. 227